! GGA-PBE CdFeI2, relaxed; values from VASP
! **Final energy**: -22.019 eV/cell
! **SG**: I-42d (122)
! **Offset from the most stable computed form**: 0.00 eV/f.u.
! **Formation energy from raw total energies**: 0.367 eV per atom
&SYSTEM
  ibrav = 0, nat = 8, ntyp = 3
/
ATOMIC_SPECIES
Cd 112.41 Cd.upf
Fe 55.84 Fe.upf
I 126.90 I.upf
ATOMIC_POSITIONS crystal
Cd 0.000 0.000 0.000
Cd 0.750 0.250 0.500
Fe 0.250 0.750 0.500
Fe 0.500 0.500 0.000
I 0.228 0.625 0.103
I 0.375 0.478 0.603
I 0.522 0.125 0.897
I 0.875 0.772 0.397
CELL_PARAMETERS angstrom
-3.628 3.628 5.184
3.628 -3.628 5.184
3.628 3.628 -5.184